No. 1
Entry from Alexandria via LeMat-Bulk: a crystal of ScTaCl relaxed with PBEsol (meta-GGA SCAN).

Cell: 6.5368 6.5368 6.5368 Å, 90.00 90.00 90.00°
With the nearest neighbours (Å) after each atom.
Space group F-43m (No. 216)
Asymmetric unit:
Sc 0.0000 0.0000 0.0000 x4  4 Ta 2.83, 4 Cl 2.83
Ta 0.2500 0.2500 0.2500 x4  4 Sc 2.83
Cl 0.2500 0.2500 0.7500 x4  4 Sc 2.83

Calculated volume = 23.28 A^3/atom
Total energy = -28.3705 eV per atom

No. 2
Entry from Alexandria via LeMat-Bulk: a crystal of Pd3WBr relaxed with PBEsol (meta-GGA SCAN).

Cell: 4.5945 4.5945 4.5945 Å, 90.00 90.00 90.00°
With the nearest neighbours (Å) after each atom.
Space group Pm-3m (No. 221)
Asymmetric unit:
Pd 0.0000 0.0000 0.5000 x3  2 Br 2.30
W 0.5000 0.5000 0.5000 x1  12 Pd 3.25
Br 0.0000 0.0000 0.0000 x1  6 Pd 2.30

Polymorph energy (0 for the lowest one) = 34.1 kJ per mole of atoms
Calculated volume = 19.40 A^3/atom

No. 3
Entry from Alexandria via LeMat-Bulk: a crystal of Pr2Ni12P5 relaxed with PBEsol (meta-GGA SCAN).

Cell: 10.7352 3.6327 12.9900 Å, 90.00 107.94 90.00°
With the nearest neighbours (Å) after each atom.
Space group P2_1/m (No. 11)
Asymmetric unit:
Pr 0.2199 0.2500 0.1829 x2  12 Ni 2.94-3.19, 4 P 2.95-2.98
Pr 0.2530 0.2500 0.6879 x2  7 P 3.02-3.09, 11 Ni 3.17-3.38
Ni 0.0620 0.7500 0.2967 x2  3 P 2.17-2.29
Ni 0.0789 0.7500 0.9903 x2  3 P 2.17-2.30
Ni 0.0818 0.7500 0.4909 x2  4 P 2.17-2.39
Ni 0.0953 0.7500 0.8047 x2  4 P 2.19-2.38
Ni 0.2022 0.2500 0.4181 x2  3 P 2.15-2.28, 1 Ni 2.37
Ni 0.2140 0.2500 0.9388 x2  3 P 2.11-2.29, 1 Ni 2.35
Ni 0.3417 0.7500 0.0617 x2  2 P 2.18-2.26, 1 Ni 2.43
Ni 0.3424 0.7500 0.3639 x2  2 P 2.17-2.26
Ni 0.4292 0.2500 0.5147 x2  2 P 2.29, 7 Ni 2.37-2.56
Ni 0.4359 0.2500 0.9478 x2  2 P 2.25, 6 Ni 2.35-2.48
Ni 0.4902 0.7500 0.6510 x2  3 P 2.24-2.27, 3 Ni 2.45-2.48
Ni 0.4947 0.7500 0.8411 x2  3 P 2.23-2.27, 3 Ni 2.45-2.48
P 0.0072 0.2500 0.8785 x2  5 Ni 2.11-2.30
P 0.0080 0.7500 0.6288 x2  7 Ni 2.15-2.39
P 0.3004 0.7500 0.5166 x2  7 Ni 2.17-2.29
P 0.3117 0.7500 0.8879 x2  7 Ni 2.18-2.29
P 0.4513 0.7500 0.2405 x2  6 Ni 2.26-2.27

Calculated volume = 12.68 A^3/atom
Calculated formation energy = -0.697 eV/atom